Record 1
The following is a DFT calculation (PBE-GGA) of a relaxed structure of La5TePb2N.

Structure (extended XYZ):
```
9
Lattice="-1.6220 -1.9231 -4.2266 -0.3723 -4.4088 2.1489 -11.2420 2.4979 3.1775" Properties=species:S:1:pos:R:3 pbc="T T T"
La -0.9971 -3.1660 -1.0389
La -8.2631 1.8361 2.3356
La -5.8071 -0.9554 2.6632
La -2.9789 0.6619 0.8420
La -6.4320 0.2874 -0.5246
Te 0.0000 0.0000 0.0000
Pb -4.2019 -2.4539 -0.1331
Pb -9.0343 -1.3801 1.2328
N -5.6210 1.2490 1.5888
```

Computed properties:
ΔE_f (raw): -8.67 eV per formula unit

Record 2
The following is a DFT calculation (PBE-GGA) of a relaxed structure of HfNbMoBr2.

Structure (extended XYZ):
```
5
Lattice="-2.8037 -3.9984 0.3877 3.0960 -2.4764 -3.1501 2.6770 -1.5071 3.8159" Properties=species:S:1:pos:R:3 pbc="T T T"
Br -1.4019 -1.9992 0.1938
Br 1.3385 -0.7536 1.9079
Mo 0.0000 0.0000 0.0000
Hf 1.4846 -3.9910 0.5267
Nb 1.5480 -1.2382 -1.5750
```

Computed properties:
ΔE_f (raw): 5.95 eV per formula unit

Record 3
The following is a DFT calculation (PBE-GGA) of a relaxed structure of LiHo.

Structure (extended XYZ):
```
2
Lattice="3.6893 0.0000 0.0000 0.0000 3.6893 0.0000 0.0000 0.0000 3.6893" Properties=species:S:1:pos:R:3 pbc="T T T"
Li 1.8447 1.8447 1.8447
Ho 0.0000 0.0000 0.0000
```

Computed properties:
Calculated formation energy: 0.156 eV/atom
Offset from the most stable computed form: 8 meV per atom

Record 4
The following is a DFT calculation (PBE-GGA) of a relaxed structure of MnIn2Te.

Structure (extended XYZ):
```
4
Lattice="4.1967 0.0000 0.0000 0.0000 4.1869 0.0000 0.0000 0.0000 5.8495" Properties=species:S:1:pos:R:3 pbc="T T T"
In 2.0983 2.0935 0.0000
In 0.0000 0.0000 0.0000
Te 0.0000 2.0935 2.9247
Mn 2.0983 0.0000 2.9247
```

Computed properties:
ΔE_f (raw): 0.85 eV per formula unit

In Å³ per atom, the volume values for the records above are, in order, 32.11 24.30 25.11 25.70.